Record 1
In2Hg2Pb: single point on PBEsol structure, SCAN.

As for the formation energy from the elements: 0.0427 eV per atom. As for the energy above the most stable polymorph in this dataset: 0.000 eV/atom. The value obtained for the density of states at the Fermi level is 0.422 states/eV per atom.

The space group is P4/mbm (No. 127) and the conventional cell measures 8.296, 8.296 and 3.710 Å, with angles of 90.00, 90.00 and 90.00 degrees. The asymmetric unit holds In at (0.165, 0.335, 0.000), Hg at (0.135, 0.635, 0.500) and Pb at (0.000, 0.000, 0.500).

***

Record 2
MnTlW: single point on PBEsol structure, SCAN.

As for the formation energy from the elements: 1.1513 eV per atom. As for the energy above the most stable polymorph in this dataset: 0.543 eV/atom. The value obtained for the density of states at the Fermi level is 0.467 states/eV per atom.

The space group is F-43m (No. 216) and the conventional cell measures 6.209, 6.209 and 6.209 Å, with angles of 90.00, 90.00 and 90.00 degrees. The asymmetric unit holds Mn at (0.000, 0.000, 0.000), Tl at (0.000, 0.000, 0.500) and W at (0.250, 0.250, 0.250).

***

Record 3
Be2CuAs: single point on PBEsol structure, SCAN.

As for the formation energy from the elements: 0.2319 eV per atom. The value obtained for the density of states at the Fermi level is 0.322 states/eV per atom.

The space group is P4/mmm (No. 123) and the conventional cell measures 2.798, 2.798 and 6.063 Å, with angles of 90.00, 90.00 and 90.00 degrees. The asymmetric unit holds Be at (0.000, 0.000, 0.190), Cu at (0.500, 0.500, 0.000) and As at (0.500, 0.500, 0.500).

***

Record 4
CaScSb2: single point on PBEsol structure, SCAN.

As for the energy above the most stable polymorph in this dataset: 0.134 eV/atom. The value obtained for the density of states at the Fermi level is 0.390 states/eV per atom.

The space group is I-4m2 (No. 119) and the conventional cell measures 4.289, 4.289 and 10.677 Å, with angles of 90.00, 90.00 and 90.00 degrees. The asymmetric unit holds Ca at (0.000, 0.000, 0.000), Sc at (0.000, 0.500, 0.750), Sb at (0.000, 0.000, 0.500) and Sb at (0.000, 0.500, 0.250).

***

Record 5
Co5Se4Cl2O12: single point on PBEsol structure, SCAN.

As for the raw total energy: -0.4493 hartree per atom.

The space group is P-1 (No. 2) and the conventional cell measures 6.495, 7.535 and 7.748 Å, with angles of 66.72, 71.12 and 81.77 degrees. The asymmetric unit holds Co at (0.000, 0.000, 0.000), Co at (0.114, 0.696, 0.437), Co at (0.328, 0.885, 0.643), Se at (0.214, 0.164, 0.213), Se at (0.343, 0.318, 0.682), Cl at (0.175, 0.684, 0.996), O at (0.043, 0.811, 0.632), O at (0.160, 0.416, 0.543), O at (0.174, 0.944, 0.205), O at (0.264, 0.079, 0.778), O at (0.359, 0.108, 0.380) and O at (0.417, 0.692, 0.497).

***

Record 6
InTcBr2: single point on PBEsol structure, SCAN.

As for the energy above the most stable polymorph in this dataset: 0.092 eV/atom. The value obtained for the density of states at the Fermi level is 0.713 states/eV per atom.

The space group is Cmmm (No. 65) and the conventional cell measures 3.134, 5.876 and 9.631 Å, with angles of 90.00, 90.00 and 90.00 degrees. The asymmetric unit holds In at (0.000, 0.000, 0.000), Tc at (0.000, 0.000, 0.500) and Br at (0.000, 0.500, 0.297).

***

Record 7
BaAu3: single point on PBEsol structure, SCAN.

As for the formation energy from the elements: -0.5372 eV per atom. The value obtained for the density of states at the Fermi level is 0.203 states/eV per atom.

The space group is P4mm (No. 99) and the conventional cell measures 3.912, 3.912 and 6.557 Å, with angles of 90.00, 90.00 and 90.00 degrees. The asymmetric unit holds Ba at (0.000, 0.000, 0.000), Au at (0.000, 0.500, 0.578) and Au at (0.500, 0.500, 0.261).

***

Record 8
Dy2AgOs: single point on PBEsol structure, SCAN.

As for the formation energy from the elements: -0.4010 eV per atom. The value obtained for the density of states at the Fermi level is 0.481 states/eV per atom.

The space group is Fm-3m (No. 225) and the conventional cell measures 6.876, 6.876 and 6.876 Å, with angles of 90.00, 90.00 and 90.00 degrees. The asymmetric unit holds Dy at (0.250, 0.250, 0.250), Ag at (0.000, 0.000, 0.000) and Os at (0.000, 0.000, 0.500).